[1]
Compound: Nd6Bi5H
Source: the Alexandria database
Functional: PBE-GGA
Structure: relaxed

The space group is C2/m (No. 12) and the conventional cell measures 7.8565, 13.5623 and 7.8833 Å, with angles of 90.00, 109.52 and 90.00 degrees. The inequivalent atoms are Nd at (0.2469, 0.1657, 0.2457), Nd at (0.2482, 0.0000, 0.7434), Bi at (0.0000, 0.1707, 0.5000), Bi at (0.0000, 0.3347, 0.0000), Bi at (0.0000, 0.5000, 0.5000) and H at (0.0000, 0.0000, 0.0000).

As for the total energy: -120.61 eV per cell. The density of states at the Fermi level comes out at 8.67 states/eV/cell. The volume is 791.7 Å³/cell.



[2]
Compound: Nd2BiH3
Source: the Alexandria database
Functional: PBE-GGA
Structure: relaxed

The space group is C2/m (No. 12) and the conventional cell measures 15.4964, 4.0902 and 7.4695 Å, with angles of 90.00, 114.59 and 90.00 degrees. The inequivalent atoms are Nd at (0.0288, 0.0000, 0.2699), Nd at (0.1999, 0.5000, 0.6788), Bi at (0.1332, 0.5000, 0.0473), H at (0.0620, 0.5000, 0.4105), H at (0.0954, 0.0000, 0.6222) and H at (0.1926, 0.0000, 0.4758).

As for the total energy: -110.50 eV per cell. The density of states at the Fermi level comes out at 0.20 states/eV/cell. The volume is 430.5 Å³/cell.



[3]
Compound: Nd5Bi5H2
Source: the Alexandria database
Functional: PBE-GGA
Structure: relaxed

The space group is C2/m (No. 12) and the conventional cell measures 16.6663, 4.6133 and 11.3460 Å, with angles of 90.00, 121.89 and 90.00 degrees. The inequivalent atoms are Nd at (0.0000, 0.0000, 0.0000), Nd at (0.0950, 0.0000, 0.4083), Nd at (0.2167, 0.5000, 0.7906), Bi at (0.0000, 0.5000, 0.5000), Bi at (0.1347, 0.5000, 0.9903), Bi at (0.1877, 0.5000, 0.3080) and H at (0.0057, 0.0000, 0.8079).

As for the total energy: -113.48 eV per cell. The density of states at the Fermi level comes out at 9.84 states/eV/cell. The volume is 740.7 Å³/cell.



[4]
Compound: Nd4Bi3H
Source: the Alexandria database
Functional: PBE-GGA
Structure: relaxed

The space group is Pmn2_1 (No. 31) and the conventional cell measures 12.7050, 6.4486 and 6.4334 Å, with angles of 90.00, 90.00 and 90.00 degrees. The inequivalent atoms are Nd at (0.0000, 0.1629, 0.9996), Nd at (0.0000, 0.7492, 0.5711), Nd at (0.2467, 0.2390, 0.5000), Bi at (0.0000, 0.2495, 0.4993), Bi at (0.2486, 0.2610, 0.0011) and H at (0.0000, 0.8162, 0.9217).

As for the total energy: -78.70 eV per cell. The density of states at the Fermi level comes out at 11.52 states/eV/cell. The volume is 527.1 Å³/cell.



[5]
Compound: Nd5Bi4H
Source: the Alexandria database
Functional: PBE-GGA
Structure: relaxed

The space group is I4 (No. 79) and the conventional cell measures 10.1018, 10.1018 and 6.4695 Å, with angles of 90.00, 90.00 and 90.00 degrees. The inequivalent atoms are Nd at (0.0000, 0.0000, 0.0000), Nd at (0.1026, 0.7002, 0.5787), Bi at (0.0972, 0.7013, 0.0788) and H at (0.0000, 0.0000, 0.6373).

As for the total energy: -99.61 eV per cell. The density of states at the Fermi level comes out at 9.84 states/eV/cell. The volume is 660.2 Å³/cell.



[6]
Compound: NdBiH
Source: the Alexandria database
Functional: PBE-GGA
Structure: relaxed

The space group is P-1 (No. 2) and the conventional cell measures 4.1386, 5.6120 and 6.2819 Å, with angles of 84.62, 70.80 and 89.91 degrees. The inequivalent atoms are Nd at (0.1499, 0.2870, 0.2006), Bi at (0.4232, 0.2133, 0.6517) and H at (0.2735, 0.6203, 0.9534).

As for the total energy: -27.70 eV per cell. The polymorph energy (0 for the lowest one) is 23 meV per atom. The density of states at the Fermi level comes out at 1.86 states/eV/cell. The volume is 137.1 Å³/cell.



[7]
Compound: Nd3Bi3H
Source: the Alexandria database
Functional: PBE-GGA
Structure: relaxed

The space group is C2/m (No. 12) and the conventional cell measures 9.2742, 13.8128 and 6.5807 Å, with angles of 90.00, 92.84 and 90.00 degrees. The inequivalent atoms are Nd at (0.0898, 0.0000, 0.2768), Nd at (0.1964, 0.3610, 0.2415), Bi at (0.0000, 0.1904, 0.0000), Bi at (0.0000, 0.2060, 0.5000), Bi at (0.0854, 0.5000, 0.7672) and H at (0.1679, 0.0000, 0.6518).

As for the total energy: -136.63 eV per cell. The density of states at the Fermi level comes out at 5.77 states/eV/cell. The volume is 842.0 Å³/cell.



[8]
Compound: NdBiH
Source: the Alexandria database
Functional: PBE-GGA
Structure: relaxed

The space group is P-3m1 (No. 164) and the conventional cell measures 4.0778, 4.0778 and 9.9574 Å, with angles of 90.00, 90.00 and 120.00 degrees. The inequivalent atoms are Nd at (0.3333, 0.6667, 0.3542), Bi at (0.3333, 0.6667, 0.8949) and H at (0.3333, 0.6667, 0.5880).

As for the total energy: -25.94 eV per cell. The polymorph energy (0 for the lowest one) is 316 meV per atom. The density of states at the Fermi level comes out at 3.55 states/eV/cell. The volume is 143.4 Å³/cell.



[9]
Compound: Nd2BiH
Source: the Alexandria database
Functional: PBE-GGA
Structure: relaxed

The space group is P2_1/c (No. 14) and the conventional cell measures 8.5084, 5.4264 and 8.7070 Å, with angles of 90.00, 104.89 and 90.00 degrees. The inequivalent atoms are Nd at (0.0048, 0.2485, 0.1264), Nd at (0.3582, 0.2440, 0.4643), Bi at (0.3103, 0.7470, 0.7027) and H at (0.0897, 0.1504, 0.3984).

As for the total energy: -77.21 eV per cell. The polymorph energy (0 for the lowest one) is 0 meV per atom. The density of states at the Fermi level comes out at 11.21 states/eV/cell. The volume is 388.5 Å³/cell.



[10]
Compound: Nd3Bi2H2
Source: the Alexandria database
Functional: PBE-GGA
Structure: relaxed

The space group is P-1 (No. 2) and the conventional cell measures 4.3254, 6.6103 and 6.8505 Å, with angles of 70.73, 71.67 and 70.93 degrees. The inequivalent atoms are Nd at (0.0000, 0.0000, 0.0000), Nd at (0.1830, 0.3783, 0.2563), Bi at (0.4249, 0.7937, 0.3559) and H at (0.2128, 0.6500, 0.9249).

As for the total energy: -33.87 eV per cell. The density of states at the Fermi level comes out at 3.15 states/eV/cell. The volume is 170.0 Å³/cell.



[11]
Compound: Nd2BiHO
Source: the Alexandria database
Functional: PBE-GGA
Structure: relaxed

The space group is I-4m2 (No. 119) and the conventional cell measures 4.0528, 4.0528 and 12.7513 Å, with angles of 90.00, 90.00 and 90.00 degrees. The inequivalent atoms are Nd at (0.0000, 0.0000, 0.1528), Bi at (0.0000, 0.0000, 0.5000), H at (0.0000, 0.5000, 0.7500) and O at (0.0000, 0.5000, 0.2500).

As for the total energy: -60.23 eV per cell. The density of states at the Fermi level comes out at 3.63 states/eV/cell. The volume is 209.4 Å³/cell.



[12]
Compound: Nd4SnBiH
Source: the Alexandria database
Functional: PBE-GGA
Structure: relaxed

The space group is Cmcm (No. 63) and the conventional cell measures 6.5709, 17.9936 and 6.5722 Å, with angles of 90.00, 90.00 and 90.00 degrees. The inequivalent atoms are Nd at (0.0000, 0.0692, 0.2500), Nd at (0.0000, 0.4264, 0.2500), Nd at (0.2500, 0.2500, 0.0000), Sn at (0.0000, 0.1116, 0.7500), Bi at (0.0000, 0.3893, 0.7500) and H at (0.0000, 0.2932, 0.2500).

As for the total energy: -140.06 eV per cell. The density of states at the Fermi level comes out at 32.91 states/eV/cell. The volume is 777.1 Å³/cell.



- What is the formula in the eighth record?
  NdBiH